Version P
Here is a geometry-optimized AcGeSe3 structure from the Alexandria database. Energies are from PBE.

Computed properties:
calculated volume: 26.11 A^3/atom
DOS(E_F): 1.8 states/eV per cell

```
AcGeSe3
1.0
-3.579 2.851 -2.190
-0.422 -3.402 -3.739
-3.570 -2.456 2.637
Se Ge Ac
3 1 1
direct
0.000 0.000 0.500
0.500 0.000 0.000
0.000 0.500 0.000
0.000 0.000 0.000
0.500 0.500 0.500
```

---

Version Q
Here is a geometry-optimized AcGeSe3 structure from the Alexandria database. Energies are from PBE.

Computed properties:
calculated volume: 36.79 A^3/atom
DOS(E_F): 2.4 states/eV per cell

```
AcGeSe3
1.0
4.713 0.000 0.000
0.000 6.858 0.000
0.000 -3.429 11.384
Se Ge Ac
6 2 2
direct
0.250 0.107 0.233
0.750 0.616 0.146
0.250 0.470 0.854
0.750 0.874 0.767
0.750 0.280 0.578
0.250 0.702 0.422
0.750 0.529 0.783
0.250 0.746 0.217
0.750 0.386 0.337
0.250 0.049 0.663
```

---

Quick one: least stable of them? version P

---

Version P
Here is a geometry-optimized Ac4Ge2Se structure from the Alexandria database. Energies are from PBE.

Computed properties:
calculated volume: 32.54 A^3/atom
DOS(E_F): 16.9 states/eV per cell

```
Ac4Ge2Se
1.0
7.916 -0.001 -2.794
-3.977 6.844 -2.800
0.036 0.001 8.395
Ge Ac Se
4 8 2
direct
0.375 0.877 0.752
0.247 0.622 0.125
0.875 0.123 0.498
0.502 0.378 0.625
0.617 0.744 0.501
0.127 0.884 0.383
0.757 0.256 0.873
0.251 0.244 0.867
0.993 0.616 0.749
0.133 0.384 0.377
0.499 0.116 0.243
0.623 0.756 0.007
0.750 0.500 0.250
0.001 0.000 0.001
```

---

Version Q
Here is a geometry-optimized Ac4Ge2Se structure from the Alexandria database. Energies are from PBE.

Computed properties:
calculated volume: 37.81 A^3/atom
DOS(E_F): 10.9 states/eV per cell

```
Ac4Ge2Se
1.0
-6.511 -1.485 -4.383
2.385 -7.186 -1.107
-2.195 -2.038 8.500
Ac Se Ge
8 2 4
direct
0.991 0.750 0.387
0.014 0.250 0.146
0.520 0.006 0.252
0.986 0.750 0.854
0.480 0.994 0.748
0.520 0.494 0.252
0.480 0.506 0.748
0.009 0.250 0.613
0.219 0.750 0.174
0.781 0.250 0.826
0.706 0.750 0.052
0.676 0.750 0.545
0.324 0.250 0.455
0.294 0.250 0.948
```

---

Quick one: least stable of them? version Q

---

Version P
Here is a geometry-optimized Ac3SiGe3 structure from the Alexandria database. Energies are from PBE.

Computed properties:
calculated volume: 27.87 A^3/atom
DOS(E_F): 5.8 states/eV per cell

```
Ac3SiGe3
1.0
4.148 0.000 -0.905
-0.236 4.664 -1.084
0.032 -0.115 10.104
Ge Ac Si
3 3 1
direct
0.148 0.648 0.295
0.563 0.563 0.126
0.857 0.357 0.713
0.680 0.180 0.361
0.998 0.998 0.997
0.321 0.821 0.641
0.433 0.433 0.867
```

---

Version Q
Here is a geometry-optimized Ac3SiGe3 structure from the Alexandria database. Energies are from PBE.

Computed properties:
calculated volume: 32.76 A^3/atom
DOS(E_F): 10.6 states/eV per cell

```
Ac3SiGe3
1.0
6.443 0.000 0.000
0.000 9.066 0.000
0.000 -4.533 7.851
Ge Ac Si
6 6 2
direct
0.250 0.918 0.295
0.250 0.377 0.082
0.750 0.623 0.918
0.750 0.082 0.705
0.750 0.295 0.377
0.250 0.705 0.623
0.250 0.301 0.383
0.250 0.617 0.918
0.250 0.082 0.699
0.750 0.383 0.082
0.750 0.699 0.617
0.750 0.918 0.301
0.250 0.667 0.333
0.750 0.333 0.667
```

---

Quick one: least stable of them? version Q

---

Version P
Here is a geometry-optimized Ac3SiGe structure from the Alexandria database. Energies are from PBE.

Computed properties:
calculated volume: 34.98 A^3/atom
DOS(E_F): 8.2 states/eV per cell

```
Ac3SiGe
1.0
4.649 -0.001 0.000
0.001 7.553 0.000
0.000 0.000 9.961
Ac Ge Si
6 2 2
direct
0.750 0.978 0.665
0.250 0.022 0.335
0.250 0.250 0.935
0.750 0.522 0.665
0.250 0.478 0.335
0.750 0.750 0.065
0.250 0.750 0.850
0.750 0.250 0.150
0.250 0.250 0.611
0.750 0.750 0.389
```

---

Version Q
Here is a geometry-optimized Ac3SiGe structure from the Alexandria database. Energies are from PBE.

Computed properties:
calculated volume: 32.92 A^3/atom
DOS(E_F): 8.4 states/eV per cell

```
Ac3SiGe
1.0
4.686 0.000 0.001
-0.001 6.922 0.004
-0.002 -0.005 10.150
Ac Ge Si
6 2 2
direct
0.750 0.255 0.052
0.250 0.745 0.948
0.250 0.745 0.552
0.750 0.750 0.250
0.250 0.250 0.750
0.750 0.255 0.448
0.750 0.935 0.750
0.250 0.065 0.250
0.250 0.439 0.250
0.750 0.561 0.750
```

---

Quick one: least stable of them? version P

---

Version P
Here is a geometry-optimized Ac6Si2Ge structure from the Alexandria database. Energies are from PBE.

Computed properties:
calculated volume: 34.12 A^3/atom
DOS(E_F): 15.3 states/eV per cell

```
Ac6Si2Ge
1.0
-7.866 1.439 4.702
-0.453 -7.859 -4.909
7.080 -0.764 5.945
Ge Si Ac
2 4 12
direct
0.000 0.000 0.000
0.000 0.500 0.500
0.620 0.000 0.620
0.500 0.390 0.890
0.380 0.000 0.380
0.500 0.610 0.110
0.709 0.384 0.676
0.291 0.967 0.676
0.199 0.756 0.956
0.709 0.033 0.324
0.801 0.756 0.557
0.444 0.267 0.177
0.291 0.616 0.324
0.556 0.733 0.823
0.090 0.267 0.823
0.801 0.244 0.044
0.199 0.244 0.443
0.910 0.733 0.177
```

---

Version Q
Here is a geometry-optimized Ac6Si2Ge structure from the Alexandria database. Energies are from PBE.

Computed properties:
calculated volume: 35.56 A^3/atom
DOS(E_F): 11.4 states/eV per cell

```
Ac6Si2Ge
1.0
6.305 0.000 0.000
3.153 6.312 -1.189
3.153 1.394 7.779
Ac Ge Si
6 1 2
direct
0.592 0.254 0.562
0.973 0.859 0.194
0.290 0.288 0.132
0.027 0.141 0.806
0.408 0.746 0.438
0.710 0.712 0.868
0.000 0.500 0.500
0.265 0.637 0.834
0.735 0.363 0.166
```

---

Quick one: least stable of them? version Q

---

Version P
Here is a geometry-optimized Ac3SiGe2 structure from the Alexandria database. Energies are from PBE.

Computed properties:
calculated volume: 30.24 A^3/atom
DOS(E_F): 19.1 states/eV per cell

```
Ac3SiGe2
1.0
-3.390 -2.401 1.528
4.756 -10.482 -5.920
6.684 -2.832 10.383
Ge Si Ac
8 4 12
direct
0.750 0.311 0.529
0.750 0.984 0.697
0.750 0.516 0.197
0.250 0.016 0.303
0.750 0.189 0.029
0.250 0.811 0.971
0.250 0.689 0.471
0.250 0.484 0.803
0.250 0.368 0.629
0.250 0.132 0.129
0.750 0.868 0.871
0.750 0.632 0.371
0.750 0.947 0.116
0.250 0.379 0.068
0.750 0.621 0.932
0.250 0.706 0.204
0.750 0.879 0.432
0.750 0.294 0.796
0.750 0.553 0.616
0.250 0.053 0.884
0.250 0.447 0.384
0.250 0.121 0.568
0.750 0.206 0.296
0.250 0.794 0.704
```

---

Version Q
Here is a geometry-optimized Ac3SiGe2 structure from the Alexandria database. Energies are from PBE.

Computed properties:
calculated volume: 33.46 A^3/atom
DOS(E_F): 11.2 states/eV per cell

```
Ac3SiGe2
1.0
8.091 0.594 0.463
3.178 7.464 0.463
3.178 2.273 7.125
Ac Ge Si
6 4 2
direct
0.569 0.931 0.250
0.069 0.750 0.431
0.931 0.250 0.569
0.431 0.069 0.750
0.250 0.569 0.931
0.750 0.431 0.069
0.653 0.653 0.653
0.847 0.847 0.847
0.153 0.153 0.153
0.347 0.347 0.347
0.000 0.000 0.000
0.500 0.500 0.500
```

---

Quick one: least stable of them? version Q

---

Version P
Here is a geometry-optimized SrAcSiGe structure from the Alexandria database. Energies are from PBE.

Computed properties:
calculated volume: 28.78 A^3/atom
DOS(E_F): 2.6 states/eV per cell

```
SrAcSiGe
1.0
-2.958 3.587 -0.977
-3.141 -2.675 -0.312
0.367 -1.154 6.202
Sr Si Ge Ac
1 1 1 1
direct
0.141 0.000 0.281
0.432 0.000 0.865
0.569 0.500 0.138
0.858 0.500 0.717
```

---

Version Q
Here is a geometry-optimized SrAcSiGe structure from the Alexandria database. Energies are from PBE.

Computed properties:
calculated volume: 28.59 A^3/atom
DOS(E_F): 2.9 states/eV per cell

```
SrAcSiGe
1.0
-1.853 -5.092 0.570
1.656 -3.901 -3.424
3.336 -3.932 1.758
Sr Si Ge Ac
1 1 1 1
direct
0.000 0.000 0.000
0.750 0.750 0.750
0.250 0.250 0.250
0.500 0.500 0.500
```

---

Quick one: least stable of them? version Q

---

Version P
Here is a geometry-optimized Ac2Sn2Ge3 structure from the Alexandria database. Energies are from PBE.

Computed properties:
calculated volume: 28.93 A^3/atom
DOS(E_F): 9.2 states/eV per cell

```
Ac2Sn2Ge3
1.0
8.073 0.000 0.000
-2.691 7.611 0.000
-2.691 -3.806 6.591
Sn Ge Ac
4 6 4
direct
0.398 0.500 0.000
0.000 0.000 0.898
0.102 0.602 0.602
0.500 0.898 0.500
0.503 0.253 0.750
0.250 0.003 0.253
0.753 0.750 0.003
0.750 0.497 0.247
0.747 0.250 0.497
0.997 0.247 0.250
0.000 0.000 0.486
0.514 0.014 0.014
0.500 0.486 0.500
0.986 0.500 0.000
```

---

Version Q
Here is a geometry-optimized Ac2Sn2Ge3 structure from the Alexandria database. Energies are from PBE.

Computed properties:
calculated volume: 28.80 A^3/atom
DOS(E_F): 6.7 states/eV per cell

```
Ac2Sn2Ge3
1.0
4.579 0.000 1.015
2.212 8.122 0.858
0.005 -0.587 10.815
Ge Ac Sn
6 4 4
direct
0.905 0.073 0.117
0.840 0.492 0.827
0.160 0.508 0.173
0.598 0.246 0.558
0.402 0.754 0.442
0.095 0.927 0.883
0.595 0.755 0.055
0.405 0.245 0.945
0.259 0.138 0.345
0.741 0.862 0.655
0.614 0.457 0.316
0.386 0.543 0.684
0.059 0.182 0.700
0.941 0.818 0.300
```

---

Quick one: least stable of them? version P